# 1
## CaGa3Co2 (GGA-PBE)

Data for an optimized crystal structure of CaGa3Co2.

## Properties
Crystal system = orthorhombic
Density of states at the Fermi level = 7.460 states/eV per cell
SG = Cmcm (63)
Mass density = 6.2 Mg/m³
Formation enthalpy at 0 K = -382 meV per atom

Unit cell a=5.277 b=6.206 c=6.206 alpha=103.05 beta=90.00 gamma=90.00
Sites, in units of the cell vectors:
Ga1 0.750 0.471 0.082
Ga2 0.250 0.529 0.918
Ga3 0.750 0.046 0.046
Ga4 0.250 0.918 0.529
Ga5 0.750 0.082 0.471
Ga6 0.250 0.954 0.954
Co1 0.000 0.206 0.794
Co2 0.500 0.794 0.206
Co3 0.000 0.794 0.206
Co4 0.500 0.206 0.794
Ca1 0.250 0.346 0.346
Ca2 0.750 0.654 0.654



# 2
## CaGaCo (GGA-PBE)

Data for an optimized crystal structure of CaGaCo.

## Properties
Crystal system = hexagonal
Density of states at the Fermi level = 2.150 states/eV per cell
SG = P-6m2 (187)
Mass density = 4.6 Mg/m³
Formation enthalpy at 0 K = -152 meV per atom

Unit cell a=4.177 b=4.090 c=4.090 alpha=120.00 beta=90.00 gamma=90.00
Sites, in units of the cell vectors:
Co1 0.167 0.667 0.333
Ca1 0.667 0.333 0.667
Ga1 0.167 0.000 0.000



# 3
## CaGa4Co9 (GGA-PBE)

Data for an optimized crystal structure of CaGa4Co9.

## Properties
Crystal system = tetragonal
Density of states at the Fermi level = 34.341 states/eV per cell
SG = I4/mcm (140)
Mass density = 7.6 Mg/m³
Formation enthalpy at 0 K = -169 meV per atom

Unit cell a=7.977 b=7.977 c=8.131 alpha=119.37 beta=119.37 gamma=90.00
Sites, in units of the cell vectors:
Ga1 0.053 0.553 0.744
Ga2 0.553 0.691 0.744
Ga3 0.947 0.447 0.256
Ga4 0.691 0.191 0.744
Ga5 0.447 0.309 0.256
Ga6 0.809 0.947 0.256
Ga7 0.309 0.809 0.256
Ga8 0.191 0.053 0.744
Co1 0.939 0.802 0.000
Co2 0.561 0.302 0.000
Co3 0.000 0.500 0.000
Co4 0.561 0.061 0.347
Co5 0.061 0.198 0.000
Co6 0.198 0.939 0.000
Co7 0.786 0.286 0.347
Co8 0.714 0.439 0.653
Co9 0.439 0.698 0.000
Co10 0.802 0.061 0.000
Co11 0.214 0.714 0.653
Co12 0.302 0.439 0.000
Co13 0.439 0.939 0.653
Co14 0.698 0.561 0.000
Co15 0.939 0.214 0.653
Co16 0.286 0.561 0.347
Co17 0.500 0.000 0.000
Co18 0.061 0.786 0.347
Ca1 0.750 0.750 0.500
Ca2 0.250 0.250 0.500



Which formula does entry 2 have?
CaGaCo